w.
Material: CuHS2Cl
Method: DFT, GGA-PBE
State: relaxed

abc: 4.5431 4.5431 4.9917
angles: 90.00 90.00 90.00
Fractional positions:
1 Cu 0.0000 0.0000 0.0000
2 H 0.5000 0.5000 0.5000
3 S 0.0000 0.5000 0.0000
4 S 0.5000 0.0000 0.0000
5 Cl 0.0000 0.0000 0.5000

Results
Size of the total moment   0.68 μB per atom


x.
Material: CuHS2Cl
Method: DFT, GGA-PBE
State: relaxed

abc: 3.5394 3.5394 7.2994
angles: 90.00 90.00 90.00
Fractional positions:
1 Cu 0.0000 0.0000 0.0000
2 H 0.5000 0.5000 0.5000
3 S 0.0000 0.5000 0.5000
4 S 0.5000 0.0000 0.5000
5 Cl 0.5000 0.5000 0.0000

Results
Size of the total moment   0.00 μB per atom


x is the most stable structure; the next one sits 479 meV per atom above it.


w.
Material: HfCu3Cl
Method: DFT, GGA-PBE
State: relaxed

abc: 5.0304 5.0304 5.0304
angles: 90.00 90.00 90.00
Fractional positions:
1 Hf 0.0000 0.0000 0.0000
2 Cu 0.0000 0.0000 0.5000
3 Cu 0.0000 0.5000 0.0000
4 Cu 0.5000 0.0000 0.0000
5 Cl 0.5000 0.5000 0.5000

Results
Size of the total moment   0.00 μB per atom


x.
Material: HfCu3Cl
Method: DFT, GGA-PBE
State: relaxed

abc: 4.4515 4.4515 4.4515
angles: 90.00 90.00 90.00
Fractional positions:
1 Hf 0.0000 0.0000 0.0000
2 Cu 0.0000 0.5000 0.5000
3 Cu 0.5000 0.0000 0.5000
4 Cu 0.5000 0.5000 0.0000
5 Cl 0.5000 0.5000 0.5000

Results
Size of the total moment   0.00 μB per atom


x is the most stable structure; the next one sits 339 meV per atom above it.


w.
Material: HfCuCl2
Method: DFT, GGA-PBE
State: relaxed

abc: 4.5519 4.5519 4.5519
angles: 60.00 60.00 60.00
Fractional positions:
1 Hf 0.0000 0.0000 0.0000
2 Cu 0.5000 0.5000 0.5000
3 Cl 0.2500 0.2500 0.2500
4 Cl 0.7500 0.7500 0.7500

Results
Size of the total moment   0.00 μB per atom


x.
Material: HfCuCl2
Method: DFT, GGA-PBE
State: relaxed

abc: 6.4394 6.4394 6.4394
angles: 124.95 124.95 81.63
Fractional positions:
1 Hf 0.0000 0.0000 0.0000
2 Hf 0.7500 0.2500 0.5000
3 Cu 0.2500 0.7500 0.5000
4 Cu 0.5000 0.5000 0.0000
5 Cl 0.1618 0.6250 0.0368
6 Cl 0.3750 0.4118 0.5368
7 Cl 0.5882 0.1250 0.9632
8 Cl 0.8750 0.8382 0.4632

Results
Size of the total moment   0.25 μB per atom


w is the most stable structure; the next one sits 164 meV per atom above it.


w.
Material: HfCuCl3
Method: DFT, GGA-PBE
State: relaxed

abc: 4.7126 4.7126 4.7126
angles: 90.00 90.00 90.00
Fractional positions:
1 Hf 0.0000 0.0000 0.0000
2 Cu 0.5000 0.5000 0.5000
3 Cl 0.0000 0.5000 0.5000
4 Cl 0.5000 0.0000 0.5000
5 Cl 0.5000 0.5000 0.0000

Results
Size of the total moment   0.42 μB per atom


x.
Material: HfCuCl3
Method: DFT, GGA-PBE
State: relaxed

abc: 4.9666 4.9666 4.9666
angles: 90.00 90.00 90.00
Fractional positions:
1 Hf 0.0000 0.0000 0.0000
2 Cu 0.5000 0.5000 0.5000
3 Cl 0.0000 0.0000 0.5000
4 Cl 0.0000 0.5000 0.0000
5 Cl 0.5000 0.0000 0.0000

Results
Size of the total moment   0.16 μB per atom


x is the most stable structure; the next one sits 585 meV per atom above it.


w.
Material: HfCuPCl2
Method: DFT, GGA-PBE
State: relaxed

abc: 4.8761 4.8761 5.1617
angles: 90.00 90.00 90.00
Fractional positions:
1 Hf 0.0000 0.0000 0.0000
2 Cu 0.5000 0.5000 0.5000
3 P 0.0000 0.0000 0.5000
4 Cl 0.0000 0.5000 0.0000
5 Cl 0.5000 0.0000 0.0000

Results
Size of the total moment   0.00 μB per atom


x.
Material: HfCuPCl2
Method: DFT, GGA-PBE
State: relaxed

abc: 4.2844 4.2844 5.5519
angles: 90.00 90.00 90.00
Fractional positions:
1 Hf 0.0000 0.0000 0.0000
2 Cu 0.5000 0.5000 0.5000
3 P 0.5000 0.5000 0.0000
4 Cl 0.0000 0.5000 0.5000
5 Cl 0.5000 0.0000 0.5000

Results
Size of the total moment   0.00 μB per atom


w is the most stable structure; the next one sits 473 meV per atom above it.


w.
Material: HfCuP2Cl
Method: DFT, GGA-PBE
State: relaxed

abc: 4.4828 4.4828 4.5429
angles: 90.00 90.00 90.00
Fractional positions:
1 Hf 0.0000 0.0000 0.0000
2 Cu 0.5000 0.5000 0.5000
3 P 0.0000 0.5000 0.5000
4 P 0.5000 0.0000 0.5000
5 Cl 0.5000 0.5000 0.0000

Results
Size of the total moment   0.00 μB per atom


x.
Material: HfCuP2Cl
Method: DFT, GGA-PBE
State: relaxed

abc: 5.0147 5.0147 4.8999
angles: 90.00 90.00 90.00
Fractional positions:
1 Hf 0.0000 0.0000 0.0000
2 Cu 0.5000 0.5000 0.5000
3 P 0.0000 0.5000 0.0000
4 P 0.5000 0.0000 0.0000
5 Cl 0.0000 0.0000 0.5000

Results
Size of the total moment   0.00 μB per atom


x is the most stable structure; the next one sits 129 meV per atom above it.


w.
Material: Y2HfCuCl
Method: DFT, GGA-PBE
State: relaxed

abc: 5.0797 5.0797 4.7135
angles: 90.00 90.00 90.00
Fractional positions:
1 Y 0.0000 0.5000 0.0000
2 Y 0.5000 0.0000 0.0000
3 Hf 0.0000 0.0000 0.5000
4 Cu 0.5000 0.5000 0.5000
5 Cl 0.0000 0.0000 0.0000

Results
Size of the total moment   0.00 μB per atom


x.
Material: Y2HfCuCl
Method: DFT, GGA-PBE
State: relaxed

abc: 5.2069 5.2069 4.4137
angles: 90.00 90.00 90.00
Fractional positions:
1 Y 0.0000 0.5000 0.0000
2 Y 0.5000 0.0000 0.0000
3 Hf 0.0000 0.0000 0.5000
4 Cu 0.5000 0.5000 0.5000
5 Cl 0.5000 0.5000 0.0000

Results
Size of the total moment   0.00 μB per atom


w is the most stable structure; the next one sits 85 meV per atom above it.


w.
Material: CuHg2Cl
Method: DFT, GGA-PBE
State: relaxed

abc: 5.3052 3.5888 6.0862
angles: 90.00 108.98 90.00
Fractional positions:
1 Cu 0.0000 0.0000 0.0000
2 Hg 0.2336 0.5000 0.7861
3 Hg 0.6028 0.0000 0.5805
4 Cl 0.9093 0.5000 0.1932

Results
Size of the total moment   0.00 μB per atom


x.
Material: CuHg2Cl
Method: DFT, GGA-PBE
State: relaxed

abc: 6.5809 6.5809 6.5809
angles: 144.62 144.62 50.90
Fractional positions:
1 Cu 0.0000 0.0000 0.0000
2 Hg 0.2500 0.7500 0.5000
3 Hg 0.7500 0.2500 0.5000
4 Cl 0.5000 0.5000 0.0000

Results
Size of the total moment   0.00 μB per atom


y.
Material: CuHg2Cl
Method: DFT, GGA-PBE
State: relaxed

abc: 6.6098 6.6098 6.6098
angles: 114.29 114.29 100.21
Fractional positions:
1 Cu 0.0000 0.0000 0.0000
2 Cu 0.7500 0.2500 0.5000
3 Hg 0.0883 0.6250 0.9633
4 Hg 0.3750 0.3383 0.4633
5 Hg 0.6617 0.1250 0.0367
6 Hg 0.8750 0.9117 0.5367
7 Cl 0.2500 0.7500 0.5000
8 Cl 0.5000 0.5000 0.0000

Results
Size of the total moment   0.00 μB per atom


z.
Material: CuHg2Cl
Method: DFT, GGA-PBE
State: relaxed

abc: 5.2530 5.2530 3.6351
angles: 90.52 90.52 117.61
Fractional positions:
1 Cu 0.0000 0.0000 0.0000
2 Hg 0.0000 0.5000 0.5000
3 Hg 0.5000 0.0000 0.5000
4 Cl 0.5000 0.5000 0.0000

Results
Size of the total moment   0.00 μB per atom


w is the most stable structure; the next one sits 152 meV per atom above it.


w.
Material: Cu2Hg2Cl7
Method: DFT, GGA-PBE
State: relaxed

abc: 6.6336 11.9452 8.2742
angles: 90.00 100.53 90.00
Fractional positions:
1 Cu 0.1696 0.0874 0.3300
2 Cu 0.1696 0.4126 0.8300
3 Cu 0.8304 0.5874 0.1700
4 Cu 0.8304 0.9126 0.6700
5 Hg 0.3199 0.7006 0.6444
6 Hg 0.3199 0.7994 0.1444
7 Hg 0.6801 0.2006 0.8556
8 Hg 0.6801 0.2994 0.3556
9 Cl 0.0000 0.0000 0.5000
10 Cl 0.0000 0.5000 0.0000
11 Cl 0.0619 0.7202 0.3039
12 Cl 0.0619 0.7798 0.8039
13 Cl 0.3141 0.0098 0.1306
14 Cl 0.3141 0.4902 0.6306
15 Cl 0.4323 0.1931 0.4911
16 Cl 0.4323 0.3069 0.9911
17 Cl 0.5677 0.6931 0.0089
18 Cl 0.5677 0.8069 0.5089
19 Cl 0.6859 0.5098 0.3694
20 Cl 0.6859 0.9902 0.8694
21 Cl 0.9381 0.2202 0.1961
22 Cl 0.9381 0.2798 0.6961

Results
Size of the total moment   0.10 μB per atom


x.
Material: Cu2Hg2Cl7
Method: DFT, GGA-PBE
State: relaxed

abc: 7.1574 7.1574 6.8097
angles: 106.53 106.53 94.46
Fractional positions:
1 Cu 0.1863 0.1863 0.3934
2 Cu 0.8137 0.8137 0.6066
3 Hg 0.3086 0.6914 0.0000
4 Hg 0.6914 0.3086 0.0000
5 Cl 0.0000 0.0000 0.5000
6 Cl 0.0555 0.3970 0.2159
7 Cl 0.3970 0.0555 0.2159
8 Cl 0.4208 0.4208 0.7163
9 Cl 0.5792 0.5792 0.2837
10 Cl 0.6030 0.9445 0.7841
11 Cl 0.9445 0.6030 0.7841

Results
Size of the total moment   0.10 μB per atom


w is the most stable structure; the next one sits 20 meV per atom above it.


w.
Material: CuHgCl3
Method: DFT, GGA-PBE
State: relaxed

abc: 10.2996 10.2996 10.2996
angles: 107.10 107.10 107.10
Fractional positions:
1 Cu 0.0852 0.2771 0.4316
2 Cu 0.2771 0.4316 0.0852
3 Cu 0.4316 0.0852 0.2771
4 Cu 0.5684 0.9148 0.7229
5 Cu 0.7229 0.5684 0.9148
6 Cu 0.9148 0.7229 0.5684
7 Hg 0.2217 0.7467 0.3257
8 Hg 0.2533 0.6743 0.7783
9 Hg 0.3257 0.2217 0.7467
10 Hg 0.6743 0.7783 0.2533
11 Hg 0.7467 0.3257 0.2217
12 Hg 0.7783 0.2533 0.6743
13 Cl 0.0505 0.3802 0.6429
14 Cl 0.0803 0.7943 0.7929
15 Cl 0.2057 0.2071 0.9197
16 Cl 0.2071 0.9197 0.2057
17 Cl 0.2619 0.5178 0.3020
18 Cl 0.3020 0.2619 0.5178
19 Cl 0.3571 0.9495 0.6198
20 Cl 0.3803 0.6429 0.0505
21 Cl 0.4822 0.6980 0.7381
22 Cl 0.5178 0.3020 0.2619
23 Cl 0.6198 0.3571 0.9495
24 Cl 0.6429 0.0505 0.3803
25 Cl 0.6980 0.7381 0.4822
26 Cl 0.7381 0.4822 0.6980
27 Cl 0.7929 0.0803 0.7943
28 Cl 0.7943 0.7929 0.0803
29 Cl 0.9197 0.2057 0.2071
30 Cl 0.9495 0.6197 0.3571

Results
Size of the total moment   0.01 μB per atom


x.
Material: CuHgCl3
Method: DFT, GGA-PBE
State: relaxed

abc: 4.7855 4.7855 4.7855
angles: 90.00 90.00 90.00
Fractional positions:
1 Cu 0.0000 0.0000 0.0000
2 Hg 0.5000 0.5000 0.5000
3 Cl 0.0000 0.0000 0.5000
4 Cl 0.0000 0.5000 0.0000
5 Cl 0.5000 0.0000 0.0000

Results
Size of the total moment   0.00 μB per atom


w is the most stable structure; the next one sits 221 meV per atom above it.


w.
Material: CuHg2Cl5
Method: DFT, GGA-PBE
State: relaxed

abc: 7.0637 7.0637 12.2651
angles: 90.00 90.00 133.80
Fractional positions:
1 Cu 0.2157 0.7843 0.7500
2 Cu 0.7843 0.2157 0.2500
3 Hg 0.1358 0.8642 0.0759
4 Hg 0.1358 0.8642 0.4241
5 Hg 0.8642 0.1358 0.5759
6 Hg 0.8642 0.1358 0.9241
7 Cl 0.0730 0.9270 0.6218
8 Cl 0.0730 0.9270 0.8782
9 Cl 0.2525 0.7475 0.2500
10 Cl 0.3307 0.6693 0.5961
11 Cl 0.3307 0.6693 0.9039
12 Cl 0.6693 0.3307 0.0961
13 Cl 0.6693 0.3307 0.4039
14 Cl 0.7475 0.2525 0.7500
15 Cl 0.9270 0.0730 0.1218
16 Cl 0.9270 0.0730 0.3782

Results
Size of the total moment   0.01 μB per atom


x.
Material: CuHg2Cl5
Method: DFT, GGA-PBE
State: relaxed

abc: 9.8211 9.8211 12.5122
angles: 107.42 107.42 60.12
Fractional positions:
1 Cu 0.0882 0.2683 0.3120
2 Cu 0.2683 0.0882 0.8120
3 Cu 0.7317 0.9118 0.1880
4 Cu 0.9118 0.7317 0.6880
5 Hg 0.0823 0.7510 0.4728
6 Hg 0.1753 0.5268 0.1237
7 Hg 0.2490 0.9177 0.0272
8 Hg 0.4732 0.8247 0.3763
9 Hg 0.5268 0.1753 0.6237
10 Hg 0.7510 0.0823 0.9728
11 Hg 0.8247 0.4732 0.8763
12 Hg 0.9177 0.2490 0.5272
13 Cl 0.0648 0.0715 0.1595
14 Cl 0.0715 0.0648 0.6595
15 Cl 0.1268 0.4654 0.2836
16 Cl 0.1416 0.2750 0.9588
17 Cl 0.1517 0.6098 0.6233
18 Cl 0.2750 0.1416 0.4588
19 Cl 0.3310 0.6070 0.0630
20 Cl 0.3902 0.8483 0.8767
21 Cl 0.3930 0.6690 0.4370
22 Cl 0.4654 0.1268 0.7836
23 Cl 0.5346 0.8732 0.2164
24 Cl 0.6070 0.3310 0.5630
25 Cl 0.6098 0.1517 0.1233
26 Cl 0.6690 0.3930 0.9370
27 Cl 0.7250 0.8584 0.5412
28 Cl 0.8483 0.3902 0.3767
29 Cl 0.8584 0.7250 0.0412
30 Cl 0.8732 0.5346 0.7164
31 Cl 0.9285 0.9352 0.3405
32 Cl 0.9352 0.9285 0.8405

Results
Size of the total moment   0.02 μB per atom


x is the most stable structure; the next one sits 61 meV per atom above it.